# 1
Here is a relaxed structure of ScCrTc2 from Alexandria. Energies are from GGA-PBE.

Structure (CIF):
```
data_ScCrTc2
_chemical_formula_sum 'Sc1 Cr1 Tc2'
_cell_length_a 4.373
_cell_length_b 4.373
_cell_length_c 3.101
_cell_angle_alpha 90.00
_cell_angle_beta 90.00
_cell_angle_gamma 90.00
_space_group_name_H-M_alt 'P 4/m m m'
_space_group_IT_number 123
_space_group_name_Hall '-P 4 2'
loop_
_atom_site_label
_atom_site_type_symbol
_atom_site_fract_x
_atom_site_fract_y
_atom_site_fract_z
_atom_site_occupancy
Sc1 Sc 0.000 0.000 0.000 1
Cr1 Cr 0.500 0.500 0.000 1
Tc1 Tc 0.000 0.500 0.500 1
```

Crystal system   tetragonal
Calculated formation energy   0.05 eV/f.u.


# 2
Here is a relaxed structure of ScCrTc2 from Alexandria. Energies are from GGA-PBE.

Structure (CIF):
```
data_ScCrTc2
_chemical_formula_sum 'Sc2 Cr2 Tc4'
_cell_length_a 3.097
_cell_length_b 4.529
_cell_length_c 8.681
_cell_angle_alpha 90.00
_cell_angle_beta 90.00
_cell_angle_gamma 90.00
_space_group_name_H-M_alt 'C m m 2'
_space_group_IT_number 35
_space_group_name_Hall 'C 2 -2'
loop_
_atom_site_label
_atom_site_type_symbol
_atom_site_fract_x
_atom_site_fract_y
_atom_site_fract_z
_atom_site_occupancy
Sc1 Sc 0.000 0.000 0.000 1
Cr1 Cr 0.000 0.500 0.263 1
Tc1 Tc 0.000 0.000 0.482 1
Tc2 Tc 0.000 0.500 0.733 1
```

Crystal system   orthorhombic
Calculated formation energy   0.85 eV/f.u.


# 3
Here is a relaxed structure of ScCr2Tc from Alexandria. Energies are from GGA-PBE.

Structure (CIF):
```
data_ScCr2Tc
_chemical_formula_sum 'Sc1 Cr2 Tc1'
_cell_length_a 3.095
_cell_length_b 4.294
_cell_length_c 4.490
_cell_angle_alpha 90.00
_cell_angle_beta 90.00
_cell_angle_gamma 90.00
_space_group_name_H-M_alt 'P m m m'
_space_group_IT_number 47
_space_group_name_Hall '-P 2 2'
loop_
_atom_site_label
_atom_site_type_symbol
_atom_site_fract_x
_atom_site_fract_y
_atom_site_fract_z
_atom_site_occupancy
Sc1 Sc 0.000 0.000 0.000 1
Cr1 Cr 0.000 0.500 0.500 1
Cr2 Cr 0.500 0.000 0.500 1
Tc1 Tc 0.500 0.500 0.000 1
```

Crystal system   orthorhombic
Calculated formation energy   0.58 eV/f.u.


# 4
Here is a relaxed structure of ScCr2Tc2 from Alexandria. Energies are from GGA-PBE.

Structure (CIF):
```
data_ScCr2Tc2
_chemical_formula_sum 'Sc2 Cr4 Tc4'
_cell_length_a 7.305
_cell_length_b 7.305
_cell_length_c 2.792
_cell_angle_alpha 90.00
_cell_angle_beta 90.00
_cell_angle_gamma 90.00
_space_group_name_H-M_alt 'P 4/m b m'
_space_group_IT_number 127
_space_group_name_Hall '-P 4 2ab'
loop_
_atom_site_label
_atom_site_type_symbol
_atom_site_fract_x
_atom_site_fract_y
_atom_site_fract_z
_atom_site_occupancy
Sc1 Sc 0.000 0.000 0.000 1
Cr1 Cr 0.143 0.357 0.000 1
Tc1 Tc 0.152 0.652 0.500 1
```

Crystal system   tetragonal
Calculated formation energy   0.75 eV/f.u.


# 5
Here is a relaxed structure of ScCrTc2 from Alexandria. Energies are from GGA-PBE.

Structure (CIF):
```
data_ScCrTc2
_chemical_formula_sum 'Sc3 Cr3 Tc6'
_cell_length_a 2.8994
_cell_length_b 2.8994
_cell_length_c 25.3469
_cell_angle_alpha 90.00
_cell_angle_beta 90.00
_cell_angle_gamma 120.00
_space_group_name_H-M_alt 'R -3 m'
_space_group_IT_number 166
_space_group_name_Hall '-R 3 2"'
loop_
_atom_site_label
_atom_site_type_symbol
_atom_site_fract_x
_atom_site_fract_y
_atom_site_fract_z
_atom_site_occupancy
Sc1 Sc 0.0000 0.0000 0.0000 1
Cr1 Cr 0.0000 0.0000 0.5000 1
Tc1 Tc 0.0000 0.0000 0.2417 1
```

Crystal system   trigonal
Calculated formation energy   0.80 eV/f.u.


# 6
Here is a relaxed structure of ScCrTc2 from Alexandria. Energies are from GGA-PBE.

Structure (CIF):
```
data_ScCrTc2
_chemical_formula_sum 'Sc2 Cr2 Tc4'
_cell_length_a 3.110
_cell_length_b 4.546
_cell_length_c 8.530
_cell_angle_alpha 90.00
_cell_angle_beta 90.00
_cell_angle_gamma 90.00
_space_group_name_H-M_alt 'C m m m'
_space_group_IT_number 65
_space_group_name_Hall '-C 2 2'
loop_
_atom_site_label
_atom_site_type_symbol
_atom_site_fract_x
_atom_site_fract_y
_atom_site_fract_z
_atom_site_occupancy
Sc1 Sc 0.000 0.000 0.000 1
Cr1 Cr 0.000 0.000 0.500 1
Tc1 Tc 0.000 0.500 0.272 1
```

Crystal system   orthorhombic
Calculated formation energy   0.35 eV/f.u.


# 7
Here is a relaxed structure of ScCr2Tc from Alexandria. Energies are from GGA-PBE.

Structure (CIF):
```
data_ScCr2Tc
_chemical_formula_sum 'Sc1 Cr2 Tc1'
_cell_length_a 4.364
_cell_length_b 4.364
_cell_length_c 3.048
_cell_angle_alpha 90.00
_cell_angle_beta 90.00
_cell_angle_gamma 90.00
_space_group_name_H-M_alt 'P 4/m m m'
_space_group_IT_number 123
_space_group_name_Hall '-P 4 2'
loop_
_atom_site_label
_atom_site_type_symbol
_atom_site_fract_x
_atom_site_fract_y
_atom_site_fract_z
_atom_site_occupancy
Sc1 Sc 0.000 0.000 0.000 1
Cr1 Cr 0.000 0.500 0.500 1
Tc1 Tc 0.500 0.500 0.000 1
```

Crystal system   tetragonal
Calculated formation energy   0.85 eV/f.u.


# 8
Here is a relaxed structure of ScCrTc from Alexandria. Energies are from GGA-PBE.

Structure (CIF):
```
data_ScCrTc
_chemical_formula_sum 'Sc1 Cr1 Tc1'
_cell_length_a 4.2976
_cell_length_b 4.2976
_cell_length_c 2.8876
_cell_angle_alpha 90.00
_cell_angle_beta 90.00
_cell_angle_gamma 120.00
_space_group_name_H-M_alt 'P 3 m 1'
_space_group_IT_number 156
_space_group_name_Hall 'P 3 -2"'
loop_
_atom_site_label
_atom_site_type_symbol
_atom_site_fract_x
_atom_site_fract_y
_atom_site_fract_z
_atom_site_occupancy
Sc1 Sc 0.0000 0.0000 0.0000 1
Cr1 Cr 0.3333 0.6667 0.6121 1
Tc1 Tc 0.6667 0.3333 0.3660 1
```

Crystal system   trigonal
Calculated formation energy   0.26 eV/f.u.


| no. | energy (eV/atom) | N(E_F) (states/eV/f.u.) |
| --- | --- | --- |
| 1 | -9.159 | 3.6 |
| 2 | -8.960 | 4.5 |
| 3 | -8.841 | 3.3 |
| 4 | -9.112 | 5.9 |
| 5 | -8.971 | 4.3 |
| 6 | -9.085 | 4.4 |
| 7 | -8.775 | 4.7 |
| 8 | -8.687 | 2.7 |